Entry 1:
Entry from the Alexandria database: a geometry-optimized Pr5Nd12Sm structure (PBE).

Output
- formation enthalpy at 0 K (eV per atom) = 0.012
- space-group type = Cmmm, No. 65

Lattice parameters (Å, degrees): 15.652 11.062 5.217 90.01 90.01 44.97
Fractional positions:
Pr  0.333  0.333  0.000
Nd  0.834  0.667  0.500
Pr  0.166  0.668  0.500
Nd  0.166  0.000  0.500
Nd  0.166  0.333  0.500
Nd  0.667  0.333  0.000
Nd  0.333  0.667  0.000
Nd  0.667  0.000  0.000
Pr  0.667  0.667  0.000
Pr  0.834  0.332  0.500
Sm  0.000  0.000  0.000
Nd  0.499  0.667  0.500
Nd  0.333  0.000  0.000
Nd  0.834  0.000  0.500
Nd  0.000  0.667  0.000
Nd  0.501  0.333  0.500
Pr  0.500  0.000  0.500
Nd  0.000  0.333  0.000

Entry 2:
Entry from the Alexandria database: a geometry-optimized NpTlRhS3 structure (PBE).

Output
- E_form (uncorrected) (meV/atom) = -820.5
- space-group type = P2_1/m, No. 11

Lattice parameters (Å, degrees): 3.972 8.711 9.105 106.76 90.00 90.00
Last column: magnetic moment on the atom in μB.
Fractional positions:
S  0.250  0.539  0.846  -0.11
Rh  0.750  0.915  0.407  0.03
S  0.750  0.461  0.154  -0.11
S  0.250  0.800  0.458  -0.04
Rh  0.250  0.085  0.593  0.03
Np  0.750  0.323  0.846  3.32
S  0.750  0.200  0.542  -0.04
Tl  0.250  0.195  0.237  0.00
S  0.250  0.128  0.867  -0.09
Tl  0.750  0.805  0.763  0.00
S  0.750  0.872  0.133  -0.09
Np  0.250  0.677  0.154  3.32

Entry 3:
Entry from the Alexandria database: a geometry-optimized LaSmHo5Er2 structure (PBE).

Output
- formation enthalpy at 0 K (eV per atom) = 0.285
- space-group type = I4/mcm, No. 140

Lattice parameters (Å, degrees): 8.975 8.975 9.698 117.56 117.56 90.00
Fractional positions:
Sm  0.750  0.250  0.500
Er  0.612  0.112  0.000
Er  0.388  0.888  0.000
Sm  0.250  0.750  0.500
Ho  0.000  0.000  0.000
Ho  0.074  0.574  0.742
Ho  0.426  0.331  0.258
Ho  0.500  0.500  0.000
Er  0.888  0.612  0.000
Ho  0.669  0.169  0.742
Ho  0.331  0.831  0.258
La  0.750  0.750  0.500
Ho  0.574  0.669  0.742
Ho  0.169  0.074  0.742
La  0.250  0.250  0.500
Er  0.112  0.388  0.000
Ho  0.926  0.426  0.258
Ho  0.831  0.926  0.258

In the order shown, the computed energy values come out to -4.757 -6.661 -4.344 eV/atom.